The following is a PBE+U calculation of a geometry-optimized ScCr2RuO structure, from Alexandria.

The structure belongs to space group P4/mmm (No. 123); the cell edges are 4.038, 4.038 and 4.427 Å and the angles 90.00°, 90.00° and 90.00°. The asymmetric unit holds Sc at (0.000, 0.000, 0.000), Cr at (0.000, 0.500, 0.500), Ru at (0.500, 0.500, 0.000) and O at (0.500, 0.500, 0.500).

The calculation puts the energy at -6.690 eV/atom. The mass density is 6.1 Mg/m³.